A relaxed structure of La2PrSn4Ir4, computed with PBE.

Structure (CIF):
```
data_La2PrSn4Ir4
_cell_length_a 4.2717
_cell_length_b 4.4751
_cell_length_c 27.5323
_cell_angle_alpha 90.00
_cell_angle_beta 90.00
_cell_angle_gamma 90.00
_symmetry_space_group_name_H-M 'I m m m'
_symmetry_Int_Tables_number 71
_symmetry_space_group_name_Hall '-I 2 2'
loop_
_atom_site_label
_atom_site_fract_x
_atom_site_fract_y
_atom_site_fract_z
La1 0.0000 0.0000 0.1450
Pr1 0.0000 0.5000 0.0000
Sn1 0.0000 0.0000 0.3038
Sn2 0.0000 0.5000 0.4491
Ir1 0.0000 0.0000 0.3991
Ir2 0.0000 0.5000 0.2514
```

M_tot (μB/cell): 0.01
Raw total energy (eV/atom): -6.5995